1.
Below is a relaxed Tm4As2H crystal, with properties calculated at the PBE level.

The space group is I4/mmm (No. 139) and the conventional cell measures 4.253, 4.253 and 15.673 Å, with angles of 90.00, 90.00 and 90.00 degrees. The asymmetric unit holds Tm at (0.000, 0.000, 0.179), Tm at (0.000, 0.500, 0.000), As at (0.000, 0.000, 0.364) and H at (0.000, 0.000, 0.000).

The value obtained for the raw total energy is -5.1893 eV/atom.


2.
Below is a relaxed LaMgFe crystal, with properties calculated at the PBE level.

The space group is P-6m2 (No. 187) and the conventional cell measures 4.8890, 4.8890 and 3.3862 Å, with angles of 90.00, 90.00 and 120.00 degrees. The asymmetric unit holds La at (0.0000, 0.0000, 0.0000), Mg at (0.6667, 0.3333, 0.5000) and Fe at (0.3333, 0.6667, 0.5000).

For the energy relative to the elements, the calculation gives 0.31 eV/atom.


3.
Below is a relaxed FeRe2BiPt crystal, with properties calculated at the PBE level.

The space group is P4/mmm (No. 123) and the conventional cell measures 5.029, 5.029 and 4.950 Å, with angles of 90.00, 90.00 and 90.00 degrees. The asymmetric unit holds Fe at (0.000, 0.000, 0.000), Re at (0.000, 0.500, 0.500), Bi at (0.500, 0.500, 0.500) and Pt at (0.500, 0.500, 0.000).

For the energy relative to the elements, the calculation gives 3.14 eV/atom.


4.
Below is a relaxed TbSmEr2Tl4 crystal, with properties calculated at the PBE level.

The space group is R-3m (No. 166, hexagonal axes) and the conventional cell measures 5.3752, 5.3752 and 26.4006 Å, with angles of 90.00, 90.00 and 120.00 degrees. The asymmetric unit holds Tb at (0.0000, 0.0000, 0.0000), Sm at (0.0000, 0.0000, 0.5000), Er at (0.0000, 0.0000, 0.2503), Tl at (0.0000, 0.0000, 0.1243) and Tl at (0.0000, 0.0000, 0.3743).

For the energy relative to the elements, the calculation gives -0.34 eV/atom.


5.
Below is a relaxed CaAc3Nd2 crystal, with properties calculated at the PBE level.

The space group is C2/c (No. 15) and the conventional cell measures 11.001, 7.706 and 12.801 Å, with angles of 90.00, 115.42 and 90.00 degrees. The asymmetric unit holds Ca at (0.000, 0.125, 0.250), Ac at (0.000, 0.375, 0.750), Ac at (0.167, 0.125, 0.585) and Nd at (0.164, 0.375, 0.076).

For the energy relative to the elements, the calculation gives 0.05 eV/atom.


6.
Below is a relaxed AsBrCl crystal, with properties calculated at the PBE level.

The space group is P-1 (No. 2) and the conventional cell measures 5.262, 7.294 and 7.615 Å, with angles of 111.74, 101.12 and 103.19 degrees. The asymmetric unit holds As at (0.146, 0.452, 0.252), Br at (0.102, 0.271, 0.448) and Cl at (0.248, 0.728, 0.991).

The raw formation energy comes out at -80 kJ/mol of formula units. Its relative energy among the computed polymorphs is 211 meV per atom.